Entry 1:
BaSrIn6 after structural relaxation, computed with PBE.

a b c (Å): 5.0795 7.1070 6.8649
angles (deg): 90.00 90.00 90.00
Sites, in units of the cell vectors:
In (0.5000, 0.8654, 0.7522)
In (0.0000, 0.1371, 0.7372)
Ba (0.0000, 0.6026, 0.0000)
Sr (0.5000, 0.3968, 0.5000)
In (0.5000, 0.8654, 0.2478)
In (0.0000, 0.7522, 0.5000)
In (0.5000, 0.2434, 0.0000)
In (0.0000, 0.1371, 0.2628)

Output
Symmetry ... Pmm2 (25)
E_tot ... -2.84 eV per atom

Entry 2:
BaTeP2Cl after structural relaxation, computed with PBE.

a b c (Å): 5.1236 5.1236 5.5827
angles (deg): 90.00 90.00 90.00
Sites, in units of the cell vectors:
Ba (0.5000, 0.5000, 0.5000)
Cl (0.0000, 0.0000, 0.5000)
P (0.5000, 0.0000, 0.0000)
P (0.0000, 0.5000, 0.0000)
Te (0.0000, 0.0000, 0.0000)

Output
Excess energy over the best structure of this formula in the dataset ... 0 meV/atom
Raw formation energy ... -0.2423 eV per atom
Symmetry ... P4/mmm (123)
E_tot ... -3.79 eV per atom

Entry 3:
Ce4DySc3Se8 after structural relaxation, computed with PBE.

a b c (Å): 8.0568 8.2100 8.0580
angles (deg): 119.39 119.99 90.00
Sites, in units of the cell vectors:
Ce (0.0000, 0.0000, 0.0000)
Se (0.7536, 0.2720, 0.5071)
Sc (0.5000, 0.5000, 0.0000)
Se (0.7411, 0.7235, 0.4823)
Se (0.2464, 0.7282, 0.9818)
Se (0.7353, 0.7282, 0.9818)
Se (0.2647, 0.2718, 0.0182)
Sc (0.0000, 0.5000, 0.5000)
Dy (0.0000, 0.5000, 0.0000)
Ce (0.5000, 0.0000, 0.5000)
Se (0.7536, 0.2718, 0.0182)
Ce (0.5000, 0.0000, 0.0000)
Sc (0.5000, 0.5000, 0.5000)
Se (0.2464, 0.7280, 0.4929)
Se (0.2589, 0.2765, 0.5177)
Ce (0.0000, 0.0000, 0.5000)

Output
Raw formation energy ... -1.7200 eV per atom
Symmetry ... R-3m (166)
E_tot ... -6.42 eV per atom

Entry 4:
Pr4DyTm3 after structural relaxation, computed with PBE.

a b c (Å): 5.1133 10.1800 10.2258
angles (deg): 90.00 90.00 90.00
Sites, in units of the cell vectors:
Pr (0.5644, 0.1312, 0.5000)
Pr (0.5644, 0.8694, 0.7503)
Pr (0.0644, 0.8693, 0.5000)
Dy (0.0644, 0.3822, 0.0000)
Tm (0.0644, 0.6178, 0.2500)
Tm (0.0644, 0.6178, 0.7500)
Pr (0.5644, 0.1307, 0.0000)
Tm (0.5644, 0.3822, 0.7500)
Dy (0.5644, 0.6178, 0.5000)
Tm (0.5644, 0.6182, 0.0000)
Tm (0.0644, 0.3818, 0.5000)
Pr (0.0644, 0.8688, 0.0000)
Tm (0.5644, 0.3822, 0.2500)
Pr (0.0644, 0.1306, 0.2503)
Pr (0.5644, 0.8694, 0.2497)
Pr (0.0644, 0.1306, 0.7497)

Output
Symmetry ... Pmmn (59)
E_tot ... -4.61 eV per atom

Entry 5:
NdHo2Sc after structural relaxation, computed with PBE.

a b c (Å): 3.5845 6.6132 6.6132
angles (deg): 55.01 74.29 74.29
Sites, in units of the cell vectors:
Nd (0.2500, 0.1767, 0.3233)
Sc (0.7500, 0.6684, 0.8316)
Ho (0.0075, 0.0696, 0.9147)
Ho (0.4925, 0.5853, 0.4304)

Output
Excess energy over the best structure of this formula in the dataset ... 0 meV/atom
Symmetry ... Imm2 (44)
E_tot ... -5.03 eV per atom

Entry 6:
Pr2MgSi after structural relaxation, computed with PBE.

a b c (Å): 4.1226 5.0531 5.0531
angles (deg): 90.00 90.00 90.00
Sites, in units of the cell vectors:
Pr (0.0000, 0.5000, 0.0000)
Si (0.5000, 0.5000, 0.5000)
Pr (0.0000, 0.0000, 0.5000)
Mg (0.5000, 0.0000, 0.0000)

Output
Raw formation energy ... -0.2961 eV per atom
Symmetry ... P4/mmm (123)
E_tot ... -4.44 eV per atom

Entry 7:
TbEr4Sc2 after structural relaxation, computed with PBE.

a b c (Å): 3.4492 3.4492 19.9573
angles (deg): 85.04 85.04 60.00
Sites, in units of the cell vectors:
Sc (0.9063, 0.9063, 0.2811)
Er (0.4716, 0.4716, 0.5853)
Sc (0.0937, 0.0937, 0.7189)
Er (0.2849, 0.2849, 0.1454)
Er (0.5284, 0.5284, 0.4147)
Er (0.7151, 0.7151, 0.8546)
Tb (0.0000, 0.0000, 0.0000)

Output
Excess energy over the best structure of this formula in the dataset ... 0 meV/atom
Symmetry ... R-3m (166)
E_tot ... -5.01 eV per atom

Entry 8:
NaTl2F6 after structural relaxation, computed with PBE.

a b c (Å): 5.3126 5.3126 10.9021
angles (deg): 90.00 90.00 90.00
Sites, in units of the cell vectors:
Tl (0.0000, 0.0000, 0.8334)
F (0.6968, 0.6968, 0.8278)
F (0.1968, 0.8032, 0.3278)
F (0.1968, 0.8032, 0.6722)
F (0.8032, 0.1968, 0.3278)
F (0.8111, 0.1889, 0.0000)
F (0.6889, 0.6889, 0.5000)
Tl (0.5000, 0.5000, 0.3334)
F (0.3032, 0.3032, 0.1722)
F (0.6968, 0.6968, 0.1722)
Tl (0.0000, 0.0000, 0.1666)
F (0.3111, 0.3111, 0.5000)
Na (0.5000, 0.5000, 0.0000)
Na (0.0000, 0.0000, 0.5000)
F (0.3032, 0.3032, 0.8278)
F (0.8032, 0.1968, 0.6722)
F (0.1889, 0.8111, 0.0000)
Tl (0.5000, 0.5000, 0.6666)

Output
Excess energy over the best structure of this formula in the dataset ... 0 meV/atom
Raw formation energy ... -2.0252 eV per atom
Symmetry ... P4_2/mnm (136)
E_tot ... -3.95 eV per atom

Entry 9:
Sc2TlPt after structural relaxation, computed with PBE.

a b c (Å): 4.8022 4.8022 4.8022
angles (deg): 60.00 60.00 60.00
Sites, in units of the cell vectors:
Pt (0.5000, 0.5000, 0.5000)
Sc (0.7500, 0.7500, 0.7500)
Tl (0.2500, 0.2500, 0.2500)
Sc (0.0000, 0.0000, 0.0000)

Output
Symmetry ... F-43m (216)
E_tot ... -5.72 eV per atom

Entry 10:
Mg2TlSiF after structural relaxation, computed with PBE.

a b c (Å): 5.3733 5.1176 5.3733
angles (deg): 90.00 90.00 90.00
Sites, in units of the cell vectors:
Mg (0.5000, 0.0000, 0.0000)
Si (0.0000, 0.5000, 0.0000)
F (0.5000, 0.5000, 0.5000)
Mg (0.0000, 0.0000, 0.5000)
Tl (0.0000, 0.0000, 0.0000)

Output
Raw formation energy ... 0.2432 eV per atom
Symmetry ... P4/mmm (123)
E_tot ... -2.33 eV per atom

Entry 11:
Tm4ZrPd5 after structural relaxation, computed with PBE.

a b c (Å): 3.4399 3.4399 17.2863
angles (deg): 90.00 90.00 90.00
Sites, in units of the cell vectors:
Tm (0.0000, 0.0000, 0.6014)
Pd (0.5000, 0.5000, 0.5000)
Pd (0.5000, 0.5000, 0.2980)
Pd (0.5000, 0.5000, 0.0903)
Tm (0.0000, 0.0000, 0.1962)
Tm (0.0000, 0.0000, 0.8038)
Pd (0.5000, 0.5000, 0.7020)
Tm (0.0000, 0.0000, 0.3986)
Pd (0.5000, 0.5000, 0.9097)
Zr (0.0000, 0.0000, 0.0000)

Output
Symmetry ... P4/mmm (123)
E_tot ... -6.10 eV per atom

Entry 12:
UTl3Cl7 after structural relaxation, computed with PBE.

a b c (Å): 7.3716 7.3716 8.5271
angles (deg): 63.94 63.94 83.88
Sites, in units of the cell vectors:
Cl (0.6560, 0.6560, 0.3875)
U (0.9525, 0.9525, 0.0380)
Tl (0.2333, 0.7851, 0.4835)
Tl (0.5039, 0.5039, 0.9187)
Tl (0.7851, 0.2333, 0.4835)
Cl (0.6330, 0.1427, 0.2093)
Cl (0.9668, 0.3100, 0.7469)
Cl (0.1392, 0.1392, 0.1414)
Cl (0.3100, 0.9668, 0.7469)
Cl (0.8025, 0.8025, 0.8849)
Cl (0.1427, 0.6330, 0.2093)

Output
Raw formation energy ... -1.3488 eV per atom
Symmetry ... Cm (8)
E_tot ... -4.20 eV per atom

Look up the E_tot of the twelfth one. -4.20 eV per atom

Which of these has the lowest E_tot? Ce4DySc3Se8